No. 1
This record from Alexandria describes crystalline Rb3TlFe at its relaxed geometry. The functional is GGA-PBEsol.

For the total energy, the calculation gives -1.90 eV/atom. As for the calculated formation energy: 1030 meV/atom.

It has space group Pm-3m (No. 221), with a = 6.813 Å, b = 6.813 Å, c = 6.813 Å, α = 90.00°, β = 90.00° and γ = 90.00°. The distinct sites, in fractional coordinates, are Rb at (0.000, 0.000, 0.500), Tl at (0.000, 0.000, 0.000) and Fe at (0.500, 0.500, 0.500).

***

No. 2
This record from Alexandria describes crystalline Mg3Tl2 at its relaxed geometry. The functional is GGA-PBEsol.

For the total energy, the calculation gives -2.07 eV/atom. As for the calculated formation energy: 9 meV/atom. The polymorph energy (0 for the lowest one) is 51 meV per atom.

It has space group P-3m1 (No. 164), with a = 4.8564 Å, b = 4.8564 Å, c = 6.2122 Å, α = 90.00°, β = 90.00° and γ = 120.00°. The distinct sites, in fractional coordinates, are Mg at (0.0000, 0.0000, 0.0000), Mg at (0.3333, 0.6667, 0.3353) and Tl at (0.3333, 0.6667, 0.8101).

***

No. 3
This record from Alexandria describes crystalline BaPPb2 at its relaxed geometry. The functional is GGA-PBEsol.

For the total energy, the calculation gives -4.40 eV/atom. As for the calculated formation energy: -419 meV/atom.

It has space group Amm2 (No. 38), with a = 4.004 Å, b = 5.012 Å, c = 12.073 Å, α = 90.00°, β = 90.00° and γ = 90.00°. The distinct sites, in fractional coordinates, are Ba at (0.000, 0.000, 0.000), P at (0.500, 0.000, 0.457), Pb at (0.000, 0.000, 0.286) and Pb at (0.500, 0.000, 0.689).

***

No. 4
This record from Alexandria describes crystalline Cu2HI at its relaxed geometry. The functional is GGA-PBEsol.

For the total energy, the calculation gives -2.63 eV/atom.

It has space group Fm-3m (No. 225), with a = 6.182 Å, b = 6.182 Å, c = 6.182 Å, α = 90.00°, β = 90.00° and γ = 90.00°. The distinct sites, in fractional coordinates, are Cu at (0.250, 0.250, 0.250), H at (0.000, 0.000, 0.000) and I at (0.000, 0.000, 0.500).

***

No. 5
This record from Alexandria describes crystalline Ag4Pt3 at its relaxed geometry. The functional is GGA-PBEsol.

For the total energy, the calculation gives -4.84 eV/atom. As for the calculated formation energy: 32 meV/atom. The polymorph energy (0 for the lowest one) is 41 meV per atom.

It has space group R3 (No. 146, hexagonal axes), with a = 7.4409 Å, b = 7.4409 Å, c = 6.8889 Å, α = 90.00°, β = 90.00° and γ = 120.00°. The distinct sites, in fractional coordinates, are Ag at (0.0000, 0.0000, 0.0000), Ag at (0.1425, 0.4261, 0.0023) and Pt at (0.0401, 0.8072, 0.6695).

***

No. 6
This record from Alexandria describes crystalline SrTlHg2Sb at its relaxed geometry. The functional is GGA-PBEsol.

For the total energy, the calculation gives -1.81 eV/atom. The uncorrected formation energy is 0.22 eV/atom.

It has space group P4/mmm (No. 123), with a = 5.354 Å, b = 5.354 Å, c = 6.263 Å, α = 90.00°, β = 90.00° and γ = 90.00°. The distinct sites, in fractional coordinates, are Sr at (0.000, 0.000, 0.000), Tl at (0.000, 0.000, 0.500), Hg at (0.000, 0.500, 0.500) and Sb at (0.500, 0.500, 0.000).

***

No. 7
This record from Alexandria describes crystalline AgSbMo at its relaxed geometry. The functional is GGA-PBEsol.

For the total energy, the calculation gives -6.09 eV/atom. The uncorrected formation energy is 0.45 eV/atom.

It has space group I4mm (No. 107), with a = 3.374 Å, b = 3.374 Å, c = 9.495 Å, α = 90.00°, β = 90.00° and γ = 90.00°. The distinct sites, in fractional coordinates, are Ag at (0.000, 0.000, 0.000), Sb at (0.000, 0.000, 0.321) and Mo at (0.000, 0.000, 0.674).

***

No. 8
This record from Alexandria describes crystalline Sb2OsC6O6F12 at its relaxed geometry. The functional is GGA-PBEsol.

For the total energy, the calculation gives -6.48 eV/atom. The uncorrected formation energy is -1.53 eV/atom.

It has space group P4/mnc (No. 128), with a = 8.167 Å, b = 8.167 Å, c = 12.290 Å, α = 90.00°, β = 90.00° and γ = 90.00°. The distinct sites, in fractional coordinates, are Sb at (0.000, 0.500, 0.250), Os at (0.000, 0.000, 0.000), C at (0.000, 0.000, 0.162), C at (0.130, 0.208, 0.000), O at (0.000, 0.000, 0.255), O at (0.173, 0.297, 0.500), F at (0.109, 0.623, 0.139) and F at (0.165, 0.335, 0.250).

***

No. 9
This record from Alexandria describes crystalline Rb2LiNdBr6 at its relaxed geometry. The functional is GGA-PBEsol.

For the total energy, the calculation gives -3.79 eV/atom. The uncorrected formation energy is -1.75 eV/atom.

It has space group Fm-3m (No. 225), with a = 10.997 Å, b = 10.997 Å, c = 10.997 Å, α = 90.00°, β = 90.00° and γ = 90.00°. The distinct sites, in fractional coordinates, are Rb at (0.250, 0.250, 0.250), Li at (0.000, 0.000, 0.000), Nd at (0.000, 0.000, 0.500) and Br at (0.000, 0.000, 0.242).

***

No. 10
This record from Alexandria describes crystalline TmB2 at its relaxed geometry. The functional is GGA-PBEsol.

For the total energy, the calculation gives -7.04 eV/atom. As for the calculated formation energy: -726 meV/atom.

It has space group P6/mmm (No. 191), with a = 3.2374 Å, b = 3.2374 Å, c = 3.7337 Å, α = 90.00°, β = 90.00° and γ = 120.00°. The distinct sites, in fractional coordinates, are Tm at (0.0000, 0.0000, 0.0000) and B at (0.3333, 0.6667, 0.5000).

***

No. 11
This record from Alexandria describes crystalline BeZnBi3 at its relaxed geometry. The functional is GGA-PBEsol.

For the total energy, the calculation gives -3.10 eV/atom. As for the calculated formation energy: 588 meV/atom.

It has space group Pm-3m (No. 221), with a = 5.058 Å, b = 5.058 Å, c = 5.058 Å, α = 90.00°, β = 90.00° and γ = 90.00°. The distinct sites, in fractional coordinates, are Be at (0.000, 0.000, 0.000), Zn at (0.500, 0.500, 0.500) and Bi at (0.000, 0.000, 0.500).

***

No. 12
This record from Alexandria describes crystalline OsPt3 at its relaxed geometry. The functional is GGA-PBEsol.

For the total energy, the calculation gives -8.13 eV/atom. As for the calculated formation energy: 145 meV/atom.

It has space group Cmmm (No. 65), with a = 5.491 Å, b = 7.840 Å, c = 2.729 Å, α = 90.00°, β = 90.00° and γ = 90.00°. The distinct sites, in fractional coordinates, are Os at (0.000, 0.000, 0.000), Pt at (0.000, 0.500, 0.000) and Pt at (0.250, 0.250, 0.500).

***

No. 13
This record from Alexandria describes crystalline TaFePt2 at its relaxed geometry. The functional is GGA-PBEsol.

For the total energy, the calculation gives -9.34 eV/atom. As for the calculated formation energy: -479 meV/atom. The polymorph energy (0 for the lowest one) is 91 meV per atom.

It has space group I-4m2 (No. 119), with a = 3.857 Å, b = 3.857 Å, c = 7.771 Å, α = 90.00°, β = 90.00° and γ = 90.00°. The distinct sites, in fractional coordinates, are Ta at (0.000, 0.000, 0.000), Fe at (0.000, 0.500, 0.750), Pt at (0.000, 0.000, 0.500) and Pt at (0.000, 0.500, 0.250).

***

No. 14
This record from Alexandria describes crystalline KFeCu2 at its relaxed geometry. The functional is GGA-PBEsol.

For the total energy, the calculation gives -3.93 eV/atom. As for the calculated formation energy: 760 meV/atom. The polymorph energy (0 for the lowest one) is 203 meV per atom.

It has space group R-3m (No. 166, hexagonal axes), with a = 2.7159 Å, b = 2.7159 Å, c = 28.4183 Å, α = 90.00°, β = 90.00° and γ = 120.00°. The distinct sites, in fractional coordinates, are K at (0.0000, 0.0000, 0.0000), Fe at (0.0000, 0.0000, 0.5000) and Cu at (0.0000, 0.0000, 0.2358).

***

No. 15
This record from Alexandria describes crystalline TiBOsPb2 at its relaxed geometry. The functional is GGA-PBEsol.

For the total energy, the calculation gives -5.66 eV/atom. As for the calculated formation energy: 1454 meV/atom.

It has space group P4/mmm (No. 123), with a = 5.150 Å, b = 5.150 Å, c = 4.697 Å, α = 90.00°, β = 90.00° and γ = 90.00°. The distinct sites, in fractional coordinates, are Ti at (0.000, 0.000, 0.000), B at (0.500, 0.500, 0.000), Os at (0.000, 0.000, 0.500) and Pb at (0.000, 0.500, 0.500).

***

No. 16
This record from Alexandria describes crystalline La2RhCl at its relaxed geometry. The functional is GGA-PBEsol.

For the total energy, the calculation gives -6.44 eV/atom. The uncorrected formation energy is -1.23 eV/atom. The polymorph energy (0 for the lowest one) is 0 meV per atom.

It has space group R-3m (No. 166, hexagonal axes), with a = 4.0665 Å, b = 4.0665 Å, c = 22.5235 Å, α = 90.00°, β = 90.00° and γ = 120.00°. The distinct sites, in fractional coordinates, are La at (0.0000, 0.0000, 0.2364), Rh at (0.0000, 0.0000, 0.5000) and Cl at (0.0000, 0.0000, 0.0000).

***

No. 17
This record from Alexandria describes crystalline KAg2Ir at its relaxed geometry. The functional is GGA-PBEsol.

For the total energy, the calculation gives -3.86 eV/atom. As for the calculated formation energy: 538 meV/atom. The polymorph energy (0 for the lowest one) is 5 meV per atom.

It has space group C2/m (No. 12), with a = 9.364 Å, b = 2.690 Å, c = 6.529 Å, α = 90.00°, β = 94.81° and γ = 90.00°. The distinct sites, in fractional coordinates, are K at (0.000, 0.000, 0.000), Ag at (0.237, 0.000, 0.683) and Ir at (0.000, 0.500, 0.500).

***

No. 18
This record from Alexandria describes crystalline AgHg3 at its relaxed geometry. The functional is GGA-PBEsol.

For the total energy, the calculation gives -1.22 eV/atom. As for the calculated formation energy: 35 meV/atom.

It has space group P-6m2 (No. 187), with a = 3.1749 Å, b = 3.1749 Å, c = 9.4498 Å, α = 90.00°, β = 90.00° and γ = 120.00°. The distinct sites, in fractional coordinates, are Ag at (0.0000, 0.0000, 0.0000), Hg at (0.0000, 0.0000, 0.5000) and Hg at (0.6667, 0.3333, 0.2366).

***

No. 19
This record from Alexandria describes crystalline Co2TcMo at its relaxed geometry. The functional is GGA-PBEsol.

For the total energy, the calculation gives -9.64 eV/atom. As for the calculated formation energy: -17 meV/atom. The polymorph energy (0 for the lowest one) is 51 meV per atom.

It has space group P4/mmm (No. 123), with a = 3.643 Å, b = 3.643 Å, c = 3.663 Å, α = 90.00°, β = 90.00° and γ = 90.00°. The distinct sites, in fractional coordinates, are Co at (0.000, 0.500, 0.000), Tc at (0.000, 0.000, 0.500) and Mo at (0.500, 0.500, 0.500).

***

No. 20
This record from Alexandria describes crystalline Sr2BBrN2 at its relaxed geometry. The functional is GGA-PBEsol.

For the total energy, the calculation gives -6.39 eV/atom. The uncorrected formation energy is -1.45 eV/atom.

It has space group R-3m (No. 166, hexagonal axes), with a = 4.0854 Å, b = 4.0854 Å, c = 26.4305 Å, α = 90.00°, β = 90.00° and γ = 120.00°. The distinct sites, in fractional coordinates, are Sr at (0.0000, 0.0000, 0.2485), B at (0.0000, 0.0000, 0.5000), Br at (0.0000, 0.0000, 0.0000) and N at (0.0000, 0.0000, 0.4490).

***

No. 21
This record from Alexandria describes crystalline Na3AgO at its relaxed geometry. The functional is GGA-PBEsol.

For the total energy, the calculation gives -3.16 eV/atom. The uncorrected formation energy is -0.61 eV/atom.

It has space group Pm-3m (No. 221), with a = 4.593 Å, b = 4.593 Å, c = 4.593 Å, α = 90.00°, β = 90.00° and γ = 90.00°. The distinct sites, in fractional coordinates, are Na at (0.000, 0.000, 0.500), Ag at (0.500, 0.500, 0.500) and O at (0.000, 0.000, 0.000).

***

No. 22
This record from Alexandria describes crystalline CdRu2Br at its relaxed geometry. The functional is GGA-PBEsol.

For the total energy, the calculation gives -4.87 eV/atom. The uncorrected formation energy is 0.98 eV/atom. The polymorph energy (0 for the lowest one) is 333 meV per atom.

It has space group Fm-3m (No. 225), with a = 6.327 Å, b = 6.327 Å, c = 6.327 Å, α = 90.00°, β = 90.00° and γ = 90.00°. The distinct sites, in fractional coordinates, are Cd at (0.000, 0.000, 0.000), Ru at (0.250, 0.250, 0.250) and Br at (0.000, 0.000, 0.500).

***

No. 23
This record from Alexandria describes crystalline CoMoIr2 at its relaxed geometry. The functional is GGA-PBEsol.

For the total energy, the calculation gives -9.94 eV/atom. As for the calculated formation energy: -155 meV/atom. The polymorph energy (0 for the lowest one) is 40 meV per atom.

It has space group Pmmm (No. 47), with a = 2.703 Å, b = 3.709 Å, c = 5.378 Å, α = 90.00°, β = 90.00° and γ = 90.00°. The distinct sites, in fractional coordinates, are Co at (0.000, 0.000, 0.000), Mo at (0.000, 0.000, 0.500) and Ir at (0.500, 0.500, 0.239).

***

No. 24
This record from Alexandria describes crystalline NdAlNi at its relaxed geometry. The functional is GGA-PBEsol.

For the total energy, the calculation gives -5.65 eV/atom. As for the calculated formation energy: -511 meV/atom.

It has space group P-62m (No. 189), with a = 6.9414 Å, b = 6.9414 Å, c = 4.0254 Å, α = 90.00°, β = 90.00° and γ = 120.00°. The distinct sites, in fractional coordinates, are Nd at (0.0000, 0.5803, 0.0000), Al at (0.0000, 0.2293, 0.5000), Ni at (0.0000, 0.0000, 0.0000) and Ni at (0.3333, 0.6667, 0.5000).

***

No. 25
This record from Alexandria describes crystalline CuNiIr at its relaxed geometry. The functional is GGA-PBEsol.

For the total energy, the calculation gives -6.69 eV/atom. As for the calculated formation energy: 81 meV/atom. The polymorph energy (0 for the lowest one) is 0 meV per atom.

It has space group P3m1 (No. 156), with a = 2.6149 Å, b = 2.6149 Å, c = 6.1840 Å, α = 90.00°, β = 90.00° and γ = 120.00°. The distinct sites, in fractional coordinates, are Cu at (0.0000, 0.0000, 0.0000), Ni at (0.3333, 0.6667, 0.3185) and Ir at (0.6667, 0.3333, 0.6490).